(1)
VASP calculation (GGA-PBE) on BaCu2As after structural relaxation.

```
BaCu2As
1.0
5.228 -0.023 -0.009
-0.015 5.228 0.009
-1.738 -3.472 3.500
Ba As Cu
1 1 2
direct
0.250 0.750 0.500
0.750 0.250 0.500
0.583 0.583 0.000
0.917 0.917 0.000
```

Summary:
Formation enthalpy at 0 K ... -0.0864 eV per atom



(2)
VASP calculation (GGA-PBE) on Ca2FeGe2Rh5 after structural relaxation.

```
Ca2FeGe2Rh5
1.0
3.392 0.000 0.000
0.000 9.923 0.000
0.000 0.000 9.923
Rh Ca Ge Fe
10 4 4 2
direct
0.500 0.435 0.300
0.500 0.000 0.500
0.500 0.200 0.065
0.500 0.800 0.935
0.500 0.700 0.435
0.500 0.500 0.000
0.500 0.065 0.800
0.500 0.935 0.200
0.500 0.300 0.565
0.500 0.565 0.700
0.000 0.172 0.328
0.000 0.328 0.828
0.000 0.672 0.172
0.000 0.828 0.672
0.000 0.871 0.371
0.000 0.629 0.871
0.000 0.129 0.629
0.000 0.371 0.129
0.000 0.000 0.000
0.000 0.500 0.500
```

Summary:
Formation enthalpy at 0 K ... -0.4783 eV per atom



(3)
VASP calculation (GGA-PBE) on Pm12Dy2Er5 after structural relaxation.

```
Pm12Dy2Er5
1.0
-1.471 -6.463 6.476
5.121 -1.912 -7.374
7.246 2.472 4.113
Er Dy Pm
5 2 12
direct
0.701 0.403 0.975
0.000 0.000 0.500
0.769 0.538 0.568
0.231 0.462 0.432
0.299 0.597 0.025
0.328 0.000 0.000
0.672 0.000 0.000
0.439 0.877 0.341
0.432 0.256 0.326
0.029 0.696 0.237
0.971 0.304 0.763
0.916 0.832 0.883
0.176 0.744 0.674
0.084 0.168 0.117
0.666 0.696 0.237
0.568 0.744 0.674
0.334 0.304 0.763
0.824 0.256 0.326
0.561 0.123 0.659
```

Summary:
Formation enthalpy at 0 K ... 0.1217 eV per atom



(4)
VASP calculation (GGA-PBE) on PrPa4Re3N12 after structural relaxation.

```
PrPa4Re3N12
1.0
7.149 0.000 0.000
-2.383 6.741 0.000
-2.383 -3.370 5.837
Pa N Re Pr
4 12 3 1
direct
0.500 0.500 0.500
0.500 0.000 0.000
0.000 0.000 0.500
0.000 0.500 0.000
0.525 0.682 0.843
0.157 0.475 0.318
0.839 0.682 0.157
0.157 0.839 0.682
0.161 0.318 0.843
0.843 0.525 0.682
0.475 0.318 0.157
0.682 0.157 0.839
0.318 0.157 0.475
0.843 0.161 0.318
0.318 0.843 0.161
0.682 0.843 0.525
0.000 0.500 0.500
0.500 0.000 0.500
0.500 0.500 0.000
0.000 0.000 0.000
```

Summary:
E_form (uncorrected) ... -62.87 kJ/mol of atoms



(5)
VASP calculation (GGA-PBE) on SmDy3YTm after structural relaxation.

```
SmDy3YTm
1.0
-0.876 -3.456 -4.491
-0.426 -5.487 7.967
-7.189 1.259 0.433
Sm Tm Y Dy
2 2 2 6
direct
0.961 0.922 0.748
0.039 0.078 0.252
0.351 0.703 0.541
0.649 0.297 0.459
0.648 0.295 0.036
0.352 0.705 0.964
0.477 0.955 0.256
0.215 0.430 0.251
0.785 0.570 0.749
0.171 0.342 0.745
0.523 0.045 0.744
0.829 0.658 0.255
```

Summary:
Formation enthalpy at 0 K ... 0.2022 eV per atom



(6)
VASP calculation (GGA-PBE) on KGa3Ni after structural relaxation.

```
KGa3Ni
1.0
-2.580 4.478 -2.088
-1.931 -3.082 -4.224
-4.548 -1.232 2.978
Ni Ga K
1 3 1
direct
0.500 0.500 0.500
0.500 0.000 0.000
0.000 0.000 0.500
0.000 0.500 0.000
0.000 0.000 0.000
```

Summary:
Formation enthalpy at 0 K ... 1.5925 eV per atom



(7)
VASP calculation (GGA-PBE) on La3Tb2YTe6 after structural relaxation.

```
La3Tb2YTe6
1.0
-0.693 2.559 -3.571
-8.591 -2.705 -0.272
0.160 6.648 7.501
Te Tb Y La
6 2 1 3
direct
0.330 0.425 0.660
0.337 0.909 0.674
0.003 0.241 0.007
0.670 0.575 0.340
0.997 0.759 0.993
0.663 0.091 0.326
0.833 0.667 0.667
0.167 0.333 0.333
0.500 0.000 0.000
0.833 0.167 0.666
0.167 0.833 0.334
0.500 0.500 0.000
```

Summary:
E_form (uncorrected) ... -140.76 kJ/mol of atoms



(8)
VASP calculation (GGA-PBE) on NdSm3Sn2 after structural relaxation.

```
NdSm3Sn2
1.0
-4.021 -1.411 -1.870
4.893 -9.018 2.072
-4.918 5.250 6.614
Nd Sm Sn
2 6 4
direct
0.885 0.770 0.898
0.115 0.230 0.102
0.308 0.616 0.505
0.648 0.296 0.816
0.946 0.892 0.582
0.692 0.384 0.495
0.054 0.108 0.418
0.352 0.704 0.184
0.507 0.014 0.159
0.243 0.486 0.770
0.757 0.514 0.230
0.493 0.986 0.841
```

Summary:
Formation enthalpy at 0 K ... -0.5221 eV per atom